The following is a GGA-PBE calculation of a relaxed structure of LiPa, from OQMD.

The calculation puts the relative energy among the computed polymorphs at 0.000 eV/atom. Its total DFT energy (no corrections) is -5.415 eV/atom.

Cell lengths 3.0470, 3.0470, 5.5406 Å; angles 90.00, 90.00, 120.00 degrees
Space group P-6m2 (No. 187)
Unique sites:
1 Li 0.0000 0.0000 0.0000 [1 per cell]
2 Pa 0.6667 0.3333 0.5000 [1 per cell]